Entry from Alexandria: a relaxed LiPb3S crystal (PBE).

Lattice parameters (Å, degrees): 5.571 5.571 5.571 90.00 90.00 90.00
Fractional positions:
Li  0.000  0.000  0.000
Pb  0.000  0.500  0.500
Pb  0.500  0.000  0.500
Pb  0.500  0.500  0.000
S  0.500  0.500  0.500

Values from the calculation:
Crystal system: cubic
DOS(E_F) in states/eV/atom: 0.58
Formation energy from raw total energies in eV per atom: 0.098
V in Å³/cell: 172.9